1.
VASP calculation (PBE-GGA) on an optimized crystal structure of K2TiGeAu.

Structure (POSCAR):
```
K2TiGeAu
1.0
5.954 0.000 0.000
0.000 5.954 0.000
0.000 0.000 5.129
K Ti Ge Au
2 1 1 1
direct
0.000 0.500 0.000
0.500 0.000 0.000
0.000 0.000 0.500
0.500 0.500 0.500
0.000 0.000 0.000
```

Results
Symmetry: P4/mmm
Energy relative to the elements (eV/atom): 0.7409

***

2.
VASP calculation (PBE-GGA) on an optimized crystal structure of TiGaTcBr2.

Structure (POSCAR):
```
TiGaTcBr2
1.0
5.210 0.000 0.000
0.000 5.210 0.000
0.000 0.000 4.707
Ti Ga Tc Br
1 1 1 2
direct
0.000 0.000 0.000
0.500 0.500 0.000
0.000 0.000 0.500
0.000 0.500 0.500
0.500 0.000 0.500
```

Results
Symmetry: P4/mmm
Formation energy from raw total energies (eV/f.u.): 2.447

***

3.
VASP calculation (PBE-GGA) on an optimized crystal structure of Dy8FeHg2.

Structure (POSCAR):
```
Dy8FeHg2
1.0
-2.518 4.219 7.065
2.518 -4.219 7.065
2.518 4.219 -7.065
Dy Fe Hg
8 1 2
direct
0.119 0.347 0.773
0.123 0.123 0.000
0.325 0.000 0.325
0.426 0.653 0.773
0.574 0.347 0.227
0.675 0.000 0.675
0.877 0.877 0.000
0.881 0.653 0.227
0.000 0.500 0.500
0.299 0.799 0.500
0.701 0.201 0.500
```

Results
Symmetry: Immm
Energy relative to the elements (eV/atom): -0.0264
ΔE to the lowest computed polymorph (eV per atom): 0.129

***

DOS at the Fermi energy / states/eV per cell: 7.14, 3.65, 12.37
Spin magnetization / μB per formula unit: 1.06, 0.61, 0.50
Calculated volume / Å³ per atom: 36.4, 25.6, 27.3